Entry 1:
# Ta2CdW

A relaxed structure of Ta2CdW (GGA-PBEsol, the Alexandria database).

Cell: 2.779 5.029 5.249 Å, 96.44 90.00 106.04°
Sites, in units of the cell vectors:
Cd 0.751 0.502 0.249
Ta 0.002 0.004 0.000
Ta 0.250 0.499 0.744
W 0.497 0.995 0.507

* energy: -9.667 eV/atom
* N(E_F): 2.98 states/eV/cell


Entry 2:
# Ta2CdW

A relaxed structure of Ta2CdW (GGA-PBEsol, the Alexandria database).

Cell: 3.407 4.545 5.338 Å, 115.20 108.61 90.00°
Sites, in units of the cell vectors:
Ta 0.008 0.008 0.015
Ta 0.759 0.259 0.518
Cd 0.245 0.745 0.490
W 0.488 0.488 0.977

* energy: -9.708 eV/atom
* N(E_F): 2.86 states/eV/cell


Entry 3:
# TaCdW2

A relaxed structure of TaCdW2 (GGA-PBEsol, the Alexandria database).

Cell: 2.701 4.381 5.733 Å, 90.00 90.00 90.00°
Sites, in units of the cell vectors:
Cd 0.000 0.000 0.500
W 0.000 0.000 0.007
W 0.500 0.500 0.237
Ta 0.500 0.500 0.756

* energy: -9.906 eV/atom
* N(E_F): 2.98 states/eV/cell


Entry 4:
# TaCdW2

A relaxed structure of TaCdW2 (GGA-PBEsol, the Alexandria database).

Cell: 2.700 4.962 5.274 Å, 94.93 90.00 105.79°
Sites, in units of the cell vectors:
Ta 0.248 0.495 0.750
W 0.753 0.506 0.243
W 0.000 0.001 0.006
Cd 0.499 0.998 0.501

* energy: -9.871 eV/atom
* N(E_F): 2.77 states/eV/cell


Entry 5:
# TaCdW2

A relaxed structure of TaCdW2 (GGA-PBEsol, the Alexandria database).

Cell: 4.569 4.569 4.569 Å, 60.00 60.00 60.00°
Sites, in units of the cell vectors:
Cd 0.500 0.500 0.500
W 0.000 0.000 0.000
W 0.750 0.750 0.750
Ta 0.250 0.250 0.250

* energy: -9.824 eV/atom
* N(E_F): 4.26 states/eV/cell


Entry 6:
# TaCd2W

A relaxed structure of TaCd2W (GGA-PBEsol, the Alexandria database).

Cell: 3.168 4.921 5.533 Å, 116.41 106.63 90.00°
Sites, in units of the cell vectors:
Ta 0.520 0.520 0.040
Cd 0.751 0.251 0.501
Cd 0.995 0.995 0.991
W 0.234 0.734 0.468

* energy: -6.688 eV/atom
* N(E_F): 1.98 states/eV/cell


Entry 7:
# TaCdW

A relaxed structure of TaCdW (GGA-PBEsol, the Alexandria database).

Cell: 2.844 2.844 7.518 Å, 90.00 90.00 120.00°
Sites, in units of the cell vectors:
Ta 0.333 0.667 0.662
Cd 0.000 0.000 0.003
W 0.667 0.333 0.335

* energy: -8.749 eV/atom
* N(E_F): 2.66 states/eV/cell


Entry 8:
# Y2TaCd

A relaxed structure of Y2TaCd (GGA-PBEsol, the Alexandria database).

Cell: 3.282 5.245 6.365 Å, 114.33 104.94 90.00°
Sites, in units of the cell vectors:
Ta 0.231 0.731 0.461
Cd 0.520 0.520 0.040
Y 0.978 0.978 0.956
Y 0.771 0.271 0.542

* energy: -6.673 eV/atom
* N(E_F): 3.57 states/eV/cell


Entry 9:
# YTaCd

A relaxed structure of YTaCd (GGA-PBEsol, the Alexandria database).

Cell: 4.729 4.729 4.729 Å, 60.00 60.00 60.00°
Sites, in units of the cell vectors:
Y 0.500 0.500 0.500
Ta 0.000 0.000 0.000
Cd 0.250 0.250 0.250

* energy: -6.005 eV/atom
* N(E_F): 4.61 states/eV/cell


Entry 10:
# TaZnCd2

A relaxed structure of TaZnCd2 (GGA-PBEsol, the Alexandria database).

Cell: 2.782 5.094 5.461 Å, 107.66 104.76 90.00°
Sites, in units of the cell vectors:
Zn 0.000 0.500 0.000
Ta 0.500 0.000 0.000
Cd 0.263 0.258 0.525
Cd 0.737 0.742 0.475

* energy: -3.853 eV/atom
* N(E_F): 1.97 states/eV/cell


Entry 11:
# Ta2ZnCd

A relaxed structure of Ta2ZnCd (GGA-PBEsol, the Alexandria database).

Cell: 2.794 5.175 5.175 Å, 114.89 90.00 90.00°
Sites, in units of the cell vectors:
Ta 0.000 0.000 0.500
Ta 0.000 0.500 0.000
Zn 0.500 0.000 0.000
Cd 0.500 0.500 0.500

* energy: -6.784 eV/atom
* N(E_F): 2.88 states/eV/cell


Entry 12:
# TaZnCd2

A relaxed structure of TaZnCd2 (GGA-PBEsol, the Alexandria database).

Cell: 2.794 5.038 5.809 Å, 115.70 103.92 90.00°
Sites, in units of the cell vectors:
Zn 0.000 0.500 0.000
Cd 0.735 0.735 0.471
Cd 0.265 0.265 0.529
Ta 0.500 0.000 0.000

* energy: -3.842 eV/atom
* N(E_F): 1.95 states/eV/cell


Entry 13:
# TaZnCd2

A relaxed structure of TaZnCd2 (GGA-PBEsol, the Alexandria database).

Cell: 2.888 4.488 5.602 Å, 90.00 102.50 90.00°
Sites, in units of the cell vectors:
Cd 0.858 0.000 0.744
Cd 0.142 0.000 0.256
Ta 0.500 0.500 0.000
Zn 0.000 0.500 0.500

* energy: -3.864 eV/atom
* N(E_F): 2.71 states/eV/cell


Entry 14:
# Ta2ZnCd

A relaxed structure of Ta2ZnCd (GGA-PBEsol, the Alexandria database).

Cell: 3.967 3.967 5.182 Å, 112.51 112.51 90.00°
Sites, in units of the cell vectors:
Ta 0.000 0.000 0.000
Ta 0.750 0.250 0.500
Cd 0.250 0.750 0.500
Zn 0.500 0.500 0.000

* energy: -6.672 eV/atom
* N(E_F): 3.24 states/eV/cell


Entry 15:
# TaZnCd2

A relaxed structure of TaZnCd2 (GGA-PBEsol, the Alexandria database).

Cell: 4.063 4.063 4.222 Å, 90.00 90.00 90.00°
Sites, in units of the cell vectors:
Zn 0.000 0.000 0.500
Cd 0.500 0.000 0.000
Cd 0.000 0.500 0.000
Ta 0.500 0.500 0.500

* energy: -3.941 eV/atom
* N(E_F): 1.41 states/eV/cell


Entry 16:
# TaZn2Cd

A relaxed structure of TaZn2Cd (GGA-PBEsol, the Alexandria database).

Cell: 3.833 4.079 4.079 Å, 90.00 90.00 90.00°
Sites, in units of the cell vectors:
Zn 0.000 0.500 0.000
Zn 0.000 0.000 0.500
Ta 0.500 0.000 0.000
Cd 0.500 0.500 0.500

* energy: -4.151 eV/atom
* N(E_F): 1.33 states/eV/cell


Entry 17:
# TaZnCd2

A relaxed structure of TaZnCd2 (GGA-PBEsol, the Alexandria database).

Cell: 2.772 5.237 5.834 Å, 116.67 103.74 90.00°
Sites, in units of the cell vectors:
Zn 0.247 0.747 0.495
Ta 0.512 0.512 0.025
Cd 0.990 0.990 0.980
Cd 0.751 0.251 0.501

* energy: -3.835 eV/atom
* N(E_F): 2.04 states/eV/cell


Entry 18:
# Zr2TaCd

A relaxed structure of Zr2TaCd (GGA-PBEsol, the Alexandria database).

Cell: 3.126 3.741 6.946 Å, 90.00 90.00 90.00°
Sites, in units of the cell vectors:
Zr 0.000 0.000 0.739
Zr 0.000 0.000 0.261
Ta 0.500 0.500 0.500
Cd 0.500 0.500 0.000

* energy: -8.012 eV/atom
* N(E_F): 4.02 states/eV/cell


Entry 19:
# Zr2TaCd

A relaxed structure of Zr2TaCd (GGA-PBEsol, the Alexandria database).

Cell: 2.954 2.954 9.507 Å, 90.00 90.00 103.44°
Sites, in units of the cell vectors:
Zr 0.000 0.000 0.236
Zr 0.000 0.000 0.764
Ta 0.500 0.500 0.000
Cd 0.500 0.500 0.500

* energy: -8.015 eV/atom
* N(E_F): 3.49 states/eV/cell


Entry 20:
# Zr2TaCd

A relaxed structure of Zr2TaCd (GGA-PBEsol, the Alexandria database).

Cell: 4.223 4.223 5.399 Å, 113.02 113.02 90.00°
Sites, in units of the cell vectors:
Cd 0.500 0.500 0.000
Zr 0.000 0.000 0.000
Zr 0.750 0.250 0.500
Ta 0.250 0.750 0.500

* energy: -7.925 eV/atom
* N(E_F): 3.05 states/eV/cell


Entry 21:
# ZrTaCd2

A relaxed structure of ZrTaCd2 (GGA-PBEsol, the Alexandria database).

Cell: 3.038 4.139 6.273 Å, 90.00 90.00 90.00°
Sites, in units of the cell vectors:
Ta 0.000 0.000 0.506
Zr 0.500 0.500 0.736
Cd 0.500 0.500 0.250
Cd 0.000 0.000 0.007

* energy: -5.879 eV/atom
* N(E_F): 2.43 states/eV/cell


Entry 22:
# Zr2TaCd

A relaxed structure of Zr2TaCd (GGA-PBEsol, the Alexandria database).

Cell: 3.441 3.441 6.849 Å, 90.00 90.00 90.00°
Sites, in units of the cell vectors:
Cd 0.500 0.500 0.000
Zr 0.000 0.000 0.735
Zr 0.000 0.000 0.265
Ta 0.500 0.500 0.500

* energy: -8.005 eV/atom
* N(E_F): 4.40 states/eV/cell


Entry 23:
# ZrTaCd2

A relaxed structure of ZrTaCd2 (GGA-PBEsol, the Alexandria database).

Cell: 2.914 2.914 9.292 Å, 90.00 90.00 96.46°
Sites, in units of the cell vectors:
Cd 0.500 0.500 0.746
Cd 0.000 0.000 0.996
Zr 0.500 0.500 0.258
Ta 0.000 0.000 0.501

* energy: -5.996 eV/atom
* N(E_F): 2.51 states/eV/cell


Entry 24:
# Zr2TaCd

A relaxed structure of Zr2TaCd (GGA-PBEsol, the Alexandria database).

Cell: 4.818 4.818 4.818 Å, 60.00 60.00 60.00°
Sites, in units of the cell vectors:
Ta 0.750 0.750 0.750
Zr 0.000 0.000 0.000
Zr 0.250 0.250 0.250
Cd 0.500 0.500 0.500

* energy: -7.777 eV/atom
* N(E_F): 4.61 states/eV/cell


Entry 25:
# TbCd3

A relaxed structure of TbCd3 (GGA-PBEsol, the Alexandria database).

Cell: 4.863 6.511 6.511 Å, 120.00 90.00 90.00°
Sites, in units of the cell vectors:
Cd 0.250 0.839 0.677
Cd 0.750 0.161 0.839
Cd 0.750 0.677 0.839
Cd 0.750 0.161 0.323
Cd 0.250 0.839 0.161
Cd 0.250 0.323 0.161
Tb 0.250 0.333 0.667
Tb 0.750 0.667 0.333

* energy: -2.467 eV/atom
* N(E_F): 4.08 states/eV/cell


Entry 26:
# CdTcTe2

A relaxed structure of CdTcTe2 (GGA-PBEsol, the Alexandria database).

Cell: 3.183 3.183 9.091 Å, 90.00 90.00 90.00°
Sites, in units of the cell vectors:
Cd 0.500 0.500 0.000
Tc 0.500 0.500 0.500
Te 0.000 0.000 0.684
Te 0.000 0.000 0.316

* formation energy (no corrections): 0.0984 eV/atom
* N(E_F): 2.49 states/eV/cell


Entry 27:
# CdTcTe2

A relaxed structure of CdTcTe2 (GGA-PBEsol, the Alexandria database).

Cell: 3.657 3.657 8.453 Å, 77.51 77.51 60.00°
Sites, in units of the cell vectors:
Te 0.734 0.734 0.797
Te 0.266 0.266 0.203
Cd 0.500 0.500 0.500
Tc 0.000 0.000 0.000

* formation energy (no corrections): 0.1113 eV/atom
* N(E_F): 2.26 states/eV/cell


Entry 28:
# CdTc3Te

A relaxed structure of CdTc3Te (GGA-PBEsol, the Alexandria database).

Cell: 4.770 4.770 4.770 Å, 90.00 90.00 90.00°
Sites, in units of the cell vectors:
Te 0.000 0.000 0.000
Tc 0.500 0.000 0.000
Tc 0.000 0.500 0.000
Tc 0.000 0.000 0.500
Cd 0.500 0.500 0.500

* formation energy (no corrections): 1.7235 eV/atom
* N(E_F): 4.58 states/eV/cell


Entry 29:
# CdTc4Te

A relaxed structure of CdTc4Te (GGA-PBEsol, the Alexandria database).

Cell: 5.215 5.215 5.215 Å, 60.00 60.00 60.00°
Sites, in units of the cell vectors:
Tc 0.874 0.375 0.375
Tc 0.375 0.375 0.375
Tc 0.375 0.375 0.874
Tc 0.375 0.874 0.375
Cd 0.000 0.000 0.000
Te 0.750 0.750 0.750

* formation energy (no corrections): 0.5650 eV/atom
* N(E_F): 5.13 states/eV/cell


Entry 30:
# CdTcTe2

A relaxed structure of CdTcTe2 (GGA-PBEsol, the Alexandria database).

Cell: 3.195 4.695 6.859 Å, 110.01 103.47 90.00°
Sites, in units of the cell vectors:
Te 0.671 0.671 0.342
Te 0.329 0.329 0.658
Tc 0.000 0.500 0.000
Cd 0.500 0.000 0.000

* formation energy (no corrections): 0.1023 eV/atom
* N(E_F): 3.32 states/eV/cell